## Re2SiPtCl (PBE-GGA)

Data for Re2SiPtCl after structural relaxation.

For the final energy, the calculation gives -28.7 eV per cell.

It has space group P4/mmm (No. 123), with a = 4.3896 Å, b = 4.3896 Å, c = 4.5681 Å, α = 90.00°, β = 90.00° and γ = 90.00°. Symmetry generates all atoms from Re at (0.0000, 0.5000, 0.0000), Si at (0.0000, 0.0000, 0.5000), Pt at (0.5000, 0.5000, 0.5000) and Cl at (0.5000, 0.5000, 0.0000).

***

## CuSnAsS4 (PBE-GGA)

Data for CuSnAsS4 after structural relaxation.

For the final energy, the calculation gives -123.9 eV per cell.

It has space group Imma (No. 74), with a = 7.3783 Å, b = 7.5681 Å, c = 10.3885 Å, α = 90.00°, β = 90.00° and γ = 90.00°. Symmetry generates all atoms from Cu at (0.0000, 0.2500, 0.1340), Sn at (0.0000, 0.0000, 0.5000), As at (0.2500, 0.2500, 0.7500), S at (0.0000, 0.0082, 0.7489) and S at (0.2456, 0.2500, 0.4991).

***

## BaHg2P2 (PBE-GGA)

Data for BaHg2P2 after structural relaxation.

For the final energy, the calculation gives -30.2 eV per cell. As for the calculated formation energy: -168 kJ/mol of formula units.

It has space group I4/mmm (No. 139), with a = 4.6028 Å, b = 4.6028 Å, c = 12.4186 Å, α = 90.00°, β = 90.00° and γ = 90.00°. Symmetry generates all atoms from Ba at (0.0000, 0.0000, 0.0000), Hg at (0.0000, 0.5000, 0.2500) and P at (0.0000, 0.0000, 0.4151).

***

Number 1: Fermi-level density of states 7.077 states/eV/cell. Number 2: Fermi-level density of states 3.977 states/eV/cell. Number 3: Fermi-level density of states 3.296 states/eV/cell.